This record from the Alexandria database describes a geometry-optimized TlFeP2O structure. The functional is PBE with a Hubbard U.

Calculated values
Its density is 5.01 g/cm³. As for the energy above the most stable polymorph in this dataset: 0.889 eV per atom. The crystal system is tetragonal. As for the symmetry: P4/mmm. As for the total magnetization: 0.471 μB per atom.

Lattice parameters (Å, degrees): 5.199 5.199 4.146 90.00 90.00 90.00
Last column: magnetic moment on the atom in μB.
Fractional coordinates of all 5 atoms:
P (0.500, 0.000, 0.000)  -0.33
P (0.000, 0.500, 0.000)  -0.33
Tl (0.000, 0.000, 0.000)  -0.01
O (0.000, 0.000, 0.500)  -0.20
Fe (0.500, 0.500, 0.500)  3.82